1.
! Y8Er3Tm4 PBE optimized geometry; values from VASP
&SYSTEM
  ibrav = 0, nat = 15, ntyp = 3
/
ATOMIC_SPECIES
Y 88.91 Y.upf
Er 167.26 Er.upf
Tm 168.93 Tm.upf
CELL_PARAMETERS angstrom
-5.9930 -0.9358 3.3077
-1.5248 -6.1709 2.7068
2.5459 0.7898 12.0517
ATOMIC_POSITIONS angstrom
Y -1.1628 -1.5291 4.6759
Y -2.0009 -4.6679 5.8653
Y -5.0073 -5.1373 7.5246
Y -4.2424 -2.0416 6.1667
Y -3.8091 -4.7878 13.3902
Y -2.9710 -1.6491 12.2009
Y 0.0354 -1.1796 10.5416
Y -0.7295 -4.2753 11.8995
Er -1.7235 -0.0730 7.6797
Er 1.2730 0.3949 6.0258
Er 0.5106 -2.6906 7.3793
Tm 0.0000 0.0000 0.0000
Tm 0.0044 -1.6014 13.9857
Tm -2.4859 -3.1585 9.0331
Tm -4.9763 -4.7156 4.0805
! Energy relative to the lowest polymorph listed for this composition in meV/atom: 0
! Calculated formation energy in eV per atom: 0.168
! Space group: R-3m (166)

***

2.
! FeHBr3 PBE optimized geometry; values from VASP
&SYSTEM
  ibrav = 0, nat = 10, ntyp = 3
/
ATOMIC_SPECIES
Fe 55.84 Fe.upf
H 1.01 H.upf
Br 79.90 Br.upf
CELL_PARAMETERS angstrom
3.4837 -0.0006 0.6804
1.2143 9.5745 3.0197
-0.1724 0.0543 10.1109
ATOMIC_POSITIONS angstrom
Fe 2.7135 3.0243 4.5909
Fe 1.8121 6.6038 9.2201
H 1.7867 1.5455 9.3401
H 2.7389 8.0826 4.4709
Br 3.0646 1.6335 2.7923
Br 1.4610 7.9946 11.0187
Br 1.0706 4.7784 3.7503
Br 3.8507 7.5665 8.0371
Br 3.4550 4.8497 10.0607
Br 0.6748 2.0616 5.7739
! Energy relative to the lowest polymorph listed for this composition in meV/atom: 0
! Space group: C2/m (12)

***

3.
! RbScGe PBE optimized geometry; values from VASP
&SYSTEM
  ibrav = 0, nat = 6, ntyp = 3
/
ATOMIC_SPECIES
Sc 44.96 Sc.upf
Ge 72.64 Ge.upf
Rb 85.47 Rb.upf
CELL_PARAMETERS angstrom
2.0213 -8.1795 0.0000
2.0213 8.1795 0.0000
0.0000 0.0000 6.6839
ATOMIC_POSITIONS angstrom
Sc 2.0213 -7.4584 1.6710
Sc 2.0213 7.4584 5.0130
Ge 2.0213 0.0000 0.0000
Ge 2.0213 0.0000 3.3420
Rb 2.0213 5.2737 1.6710
Rb 2.0213 -5.2737 5.0130
! Energy relative to the lowest polymorph listed for this composition in meV/atom: 239
! Calculated formation energy in eV per atom: -0.121
! Space group: Cmcm (63)

***

4.
! PrTm2S PBE optimized geometry; values from VASP
&SYSTEM
  ibrav = 0, nat = 4, ntyp = 3
/
ATOMIC_SPECIES
Pr 140.91 Pr.upf
S 32.06 S.upf
Tm 168.93 Tm.upf
CELL_PARAMETERS angstrom
-0.2627 -3.1831 -1.6915
2.8979 -1.4317 -1.6171
3.3215 -6.3124 7.5018
ATOMIC_POSITIONS angstrom
Pr 0.0000 0.0000 0.0000
S 2.9783 -5.4636 2.0966
Tm 2.4929 -4.6932 4.5835
Tm 3.4637 -6.2340 -0.3903
! Calculated total energy in eV/f.u.: -20.84
! Space group: R-3m (166)

***

5.
! BaHf PBE optimized geometry; values from VASP
&SYSTEM
  ibrav = 0, nat = 12, ntyp = 2
/
ATOMIC_SPECIES
Ba 137.33 Ba.upf
Hf 178.49 Hf.upf
CELL_PARAMETERS angstrom
-1.4378 -0.8252 -2.9418
6.0098 -1.7935 -2.4341
-2.6747 -17.3371 6.1704
ATOMIC_POSITIONS angstrom
Ba 2.6790 -13.2593 2.4100
Ba -1.4001 -14.9524 2.9406
Ba 0.2740 -4.1011 -0.9215
Ba 3.6796 -6.7735 0.1017
Ba 0.3055 -0.0912 -0.1237
Ba 3.6481 -10.7835 -0.6961
Hf 1.8604 -16.5603 3.7360
Hf -0.5815 -11.6514 1.6145
Hf 0.0468 -7.5786 0.1650
Hf 3.9067 -3.2961 -0.9848
Hf 1.4878 -9.5117 1.9409
Hf 2.4658 -1.3630 -2.7608
! Energy relative to the lowest polymorph listed for this composition in meV/atom: 127
! Calculated formation energy in eV per atom: 0.685
! Space group: Pmmn (59)

***

6.
! Pr12In5Hg2 PBE optimized geometry; values from VASP
&SYSTEM
  ibrav = 0, nat = 19, ntyp = 3
/
ATOMIC_SPECIES
Pr 140.91 Pr.upf
In 114.82 In.upf
Hg 200.59 Hg.upf
CELL_PARAMETERS angstrom
-5.3747 0.5445 -5.2543
6.3908 -7.0507 -1.8638
-4.8449 -6.8587 4.2451
ATOMIC_POSITIONS angstrom
Pr -0.2227 -7.2660 -5.9296
Pr -0.6072 -11.0343 2.2763
Pr -3.3906 -10.7523 -0.4448
Pr 1.4875 -8.3097 0.3418
Pr -1.2222 -8.0352 -2.3072
Pr 0.3384 -11.4650 -1.5344
Pr -4.1671 -1.8999 -1.3386
Pr -5.3163 -5.0551 -3.2147
Pr -2.6066 -5.3296 -0.5658
Pr -3.2216 -2.3305 -5.1492
Pr -0.4382 -2.6125 -2.4282
Pr -3.6061 -6.0989 3.0567
In -1.9396 -8.2426 1.1298
In 1.0774 -5.6993 -1.6927
In -2.4224 -3.4294 2.1226
In -4.9061 -7.6655 -1.1802
In -1.8892 -5.1223 -4.0027
Hg -3.6688 0.3717 -3.5866
Hg -1.7059 0.1728 -1.6677
! Calculated formation energy in eV per atom: -0.213
! Space group: C2/m (12)